Below is FeAu2Se after structural relaxation, with properties calculated at the GGA-PBE level.

abc: 4.743 4.743 6.232
angles: 78.20 78.20 36.44
Each line ends with the local moment (μB).
Positions (direct):
Fe (0.536, 0.536, 0.562)  2.58
Au (0.791, 0.791, 0.715)  0.05
Au (0.026, 0.026, 0.941)  0.01
Se (0.148, 0.148, 0.283)  -0.04

Properties
The total magnetization is 0.660 μB per atom. The value obtained for the total energy is -4.5195 eV/atom. As for the density of states at the Fermi level: 0.656 states/eV/atom. The formation energy from raw total energies comes out at 0.106 eV/atom.